one | An optimized crystal structure of YTmRhPb, computed with PBE.

```
16
Lattice="7.239 0.000 0.000 0.000 7.239 0.000 0.000 0.000 7.239" Properties=species:S:1:pos:R:3 pbc="T T T"
Y 0.000 0.000 0.000
Y 0.000 3.620 3.620
Y 3.620 0.000 3.620
Y 3.620 3.620 0.000
Tm 0.000 0.000 3.620
Tm 0.000 3.620 0.000
Tm 3.620 0.000 0.000
Tm 3.620 3.620 3.620
Rh 1.810 1.810 5.430
Rh 1.810 5.430 1.810
Rh 5.430 1.810 1.810
Rh 5.430 5.430 5.430
Pb 1.810 1.810 1.810
Pb 1.810 5.430 5.430
Pb 5.430 1.810 5.430
Pb 5.430 5.430 1.810
```

Summary:
- total moment (μB/f.u.) = 0.0
- SG = No. 216
- crystal system = cubic
- calculated density (g/cm3) = 9.943

---

two | An optimized crystal structure of YTmRhPb, computed with PBE.

```
4
Lattice="3.475 0.000 0.000 0.000 3.475 0.000 0.000 0.000 7.964" Properties=species:S:1:pos:R:3 pbc="T T T"
Y 0.000 0.000 0.000
Tm 0.000 0.000 4.666
Rh 1.738 1.738 6.246
Pb 1.738 1.738 2.357
```

Summary:
- total moment (μB/f.u.) = 0.0
- SG = No. 99
- crystal system = tetragonal
- calculated density (g/cm3) = 9.806

---

In meV per atom, relative to the most stable structure: one 162; two 0.

---

one | An optimized crystal structure of VRh3Pb, computed with PBE.

```
5
Lattice="4.913 0.000 0.000 0.000 4.913 0.000 0.000 0.000 4.913" Properties=species:S:1:pos:R:3 pbc="T T T"
V 0.000 0.000 0.000
Rh 0.000 2.456 2.456
Rh 2.456 0.000 2.456
Rh 2.456 2.456 0.000
Pb 2.456 2.456 2.456
```

Summary:
- total moment (μB/f.u.) = 2.1
- SG = No. 221
- crystal system = cubic
- calculated density (g/cm3) = 7.939

---

two | An optimized crystal structure of VRh3Pb, computed with PBE.

```
5
Lattice="4.573 0.000 0.000 0.000 4.573 0.000 0.000 0.000 4.573" Properties=species:S:1:pos:R:3 pbc="T T T"
V 0.000 0.000 0.000
Rh 0.000 0.000 2.287
Rh 0.000 2.287 0.000
Rh 2.287 0.000 0.000
Pb 2.287 2.287 2.287
```

Summary:
- total moment (μB/f.u.) = 0.0
- SG = No. 221
- crystal system = cubic
- calculated density (g/cm3) = 9.843

---

In meV per atom, relative to the most stable structure: one 1061; two 0.

---

one | An optimized crystal structure of RhPbW, computed with PBE.

```
12
Lattice="6.241 0.000 0.000 0.000 6.241 0.000 0.000 0.000 6.241" Properties=species:S:1:pos:R:3 pbc="T T T"
Rh 0.000 0.000 0.000
Rh 0.000 3.120 3.120
Rh 3.120 0.000 3.120
Rh 3.120 3.120 0.000
Pb 1.560 1.560 4.680
Pb 1.560 4.680 1.560
Pb 4.680 1.560 1.560
Pb 4.680 4.680 4.680
W 1.560 1.560 1.560
W 1.560 4.680 4.680
W 4.680 1.560 4.680
W 4.680 4.680 1.560
```

Summary:
- total moment (μB/f.u.) = 1.0
- SG = No. 216
- crystal system = cubic
- calculated density (g/cm3) = 13.499

---

two | An optimized crystal structure of RhPbW, computed with PBE.

```
3
Lattice="3.023 0.000 0.000 -1.511 2.618 0.000 0.000 0.000 7.092" Properties=species:S:1:pos:R:3 pbc="T T T"
Rh 0.000 0.000 0.000
Pb 0.000 1.745 4.571
W 1.511 0.873 1.964
```

Summary:
- total moment (μB/f.u.) = 0.0
- SG = No. 156
- crystal system = trigonal
- calculated density (g/cm3) = 14.618

---

In meV per atom, relative to the most stable structure: one 119; two 0.

---

one | An optimized crystal structure of Rh2Pb2W, computed with PBE.

```
10
Lattice="7.864 0.000 0.000 0.000 7.864 0.000 0.000 0.000 3.044" Properties=species:S:1:pos:R:3 pbc="T T T"
Rh 1.161 2.771 0.000
Rh 2.771 6.703 0.000
Rh 5.093 1.161 0.000
Rh 6.703 5.093 0.000
Pb 1.199 5.131 1.522
Pb 2.733 1.199 1.522
Pb 5.131 6.665 1.522
Pb 6.665 2.733 1.522
W 0.000 0.000 1.522
W 3.932 3.932 1.522
```

Summary:
- total moment (μB/f.u.) = 0.0
- SG = No. 127
- crystal system = tetragonal
- calculated density (g/cm3) = 14.184

---

two | An optimized crystal structure of Rh2Pb2W, computed with PBE.

```
10
Lattice="3.609 0.000 0.000 0.000 3.609 0.000 0.000 0.000 15.854" Properties=species:S:1:pos:R:3 pbc="T T T"
Rh 0.000 1.804 3.963
Rh 0.000 1.804 11.890
Rh 1.804 0.000 3.963
Rh 1.804 0.000 11.890
Pb 0.000 0.000 1.676
Pb 0.000 0.000 14.178
Pb 1.804 1.804 6.251
Pb 1.804 1.804 9.603
W 0.000 0.000 7.927
W 1.804 1.804 0.000
```

Summary:
- total moment (μB/f.u.) = 2.5
- SG = No. 139
- crystal system = tetragonal
- calculated density (g/cm3) = 12.934

---

In meV per atom, relative to the most stable structure: one 0; two 307.